[1]
The following is a DFT calculation (PBE) of an optimized crystal structure of BeCrIrW.

Values from the calculation:
**ρ**: 13.777 g/cm3
**DOS(E_F)**: 4.17 states/eV per cell
**Energy relative to the elements**: -0.052 eV per atom
**Total DFT energy (no corrections)**: -35.4 eV per cell
**Space group**: F-43m, No. 216

Cell lengths 4.208, 4.208, 4.208 Å; angles 60.00, 60.00, 60.00 degrees
Site moments in Bohr magnetons follow the coordinates.
Fractional coordinates of all 4 atoms:
Cr1 0.750 0.750 0.750  0.94
Ir1 0.250 0.250 0.250  0.09
W1 0.000 0.000 0.000  -0.18
Be1 0.500 0.500 0.500  -0.01

[2]
The following is a DFT calculation (PBE) of an optimized crystal structure of Sr2ReTe.

Values from the calculation:
**ρ**: 6.657 g/cm3
**ΔE_f (raw)**: 0.401 eV per atom
**DOS(E_F)**: 9.07 states/eV per cell
**Total DFT energy (no corrections)**: -17.3 eV per cell
**Space group**: Fm-3m, No. 225

Cell lengths 5.567, 5.567, 5.567 Å; angles 60.00, 60.00, 60.00 degrees
Site moments in Bohr magnetons follow the coordinates.
Fractional coordinates of all 4 atoms:
Re1 0.500 0.500 0.500  2.37
Te1 0.000 0.000 0.000  0.09
Sr1 0.250 0.250 0.250  -0.01
Sr2 0.750 0.750 0.750  -0.01

[3]
The following is a DFT calculation (PBE) of an optimized crystal structure of LaIn2Pd5.

Values from the calculation:
**ρ**: 9.285 g/cm3
**DOS(E_F)**: 3.57 states/eV per cell
**Energy relative to the elements**: -0.613 eV per atom
**Total DFT energy (no corrections)**: -41.3 eV per cell
**Space group**: Immm, No. 71

Cell lengths 4.269, 7.420, 7.420 Å; angles 46.18, 73.28, 73.28 degrees
Fractional coordinates of all 8 atoms:
La1 0.000 0.000 0.000
In1 0.786 0.714 0.714
In2 0.214 0.286 0.286
Pd1 0.000 0.500 0.500
Pd2 0.613 0.626 0.148
Pd3 0.387 0.374 0.852
Pd4 0.387 0.852 0.374
Pd5 0.613 0.148 0.626

[4]
The following is a DFT calculation (PBE) of an optimized crystal structure of LiLa2H.

Values from the calculation:
**ρ**: 4.661 g/cm3
**DOS(E_F)**: 7.05 states/eV per cell
**Total DFT energy (no corrections)**: -30.8 eV per cell
**Space group**: I-42d, No. 122

Cell lengths 7.313, 7.313, 6.421 Å; angles 55.29, 55.29, 90.00 degrees
Fractional coordinates of all 8 atoms:
H1 0.500 0.500 0.000
H2 0.250 0.750 0.500
Li1 0.000 0.000 0.000
Li2 0.750 0.250 0.500
La1 0.528 0.125 0.250
La2 0.222 0.625 0.250
La3 0.375 0.472 0.750
La4 0.875 0.778 0.750

[5]
The following is a DFT calculation (PBE) of an optimized crystal structure of B5C7.

Values from the calculation:
**ρ**: 2.608 g/cm3
**DOS(E_F)**: 1.46 states/eV per cell
**Energy relative to the elements**: 0.311 eV per atom
**Total DFT energy (no corrections)**: -94.2 eV per cell
**Space group**: P3m1, No. 156

Cell lengths 2.625, 2.625, 14.738 Å; angles 90.00, 90.00, 120.00 degrees
Fractional coordinates of all 12 atoms:
B1 0.667 0.333 0.900
B2 0.667 0.333 0.647
B3 0.000 0.000 0.463
B4 0.333 0.667 0.532
B5 0.333 0.667 0.172
C1 0.000 0.000 0.914
C2 0.333 0.667 0.639
C3 0.667 0.333 0.319
C4 0.000 0.000 0.356
C5 0.667 0.333 0.217
C6 0.000 0.000 0.028
C7 0.333 0.667 0.062

[6]
The following is a DFT calculation (PBE) of an optimized crystal structure of OsSBrN2.

Values from the calculation:
**ρ**: 7.071 g/cm3
**ΔE_f (raw)**: 0.790 eV per atom
**DOS(E_F)**: 2.19 states/eV per cell
**Total DFT energy (no corrections)**: -29.7 eV per cell
**Space group**: P4/mmm, No. 123

Cell lengths 3.796, 3.796, 5.382 Å; angles 90.00, 90.00, 90.00 degrees
Site moments in Bohr magnetons follow the coordinates.
Fractional coordinates of all 5 atoms:
S1 0.000 0.000 0.500  0.00
Os1 0.000 0.000 0.000  -0.04
Br1 0.500 0.500 0.500  0.00
N1 0.000 0.500 0.000  0.08
N2 0.500 0.000 0.000  0.08

[7]
The following is a DFT calculation (PBE) of an optimized crystal structure of NaEr2MnSe4.

Values from the calculation:
**ρ**: 6.545 g/cm3
**ΔE_f (raw)**: -1.337 eV per atom
**DOS(E_F)**: 1.70 states/eV per cell
**Total DFT energy (no corrections)**: -44.3 eV per cell
**Space group**: I-4m2, No. 119

Cell lengths 5.686, 5.686, 6.988 Å; angles 114.01, 114.01, 90.00 degrees
Site moments in Bohr magnetons follow the coordinates.
Fractional coordinates of all 8 atoms:
Na1 0.500 0.500 0.000  0.00
Er1 0.250 0.750 0.500  -0.11
Er2 0.000 0.000 0.000  -0.09
Mn1 0.750 0.250 0.500  4.10
Se1 0.998 0.498 0.995  0.02
Se2 0.502 0.002 0.005  0.02
Se3 0.753 0.753 0.506  0.03
Se4 0.247 0.247 0.494  0.03

[8]
The following is a DFT calculation (PBE) of an optimized crystal structure of Pr8Os3SI3.

Values from the calculation:
**ρ**: 6.989 g/cm3
**ΔE_f (raw)**: -0.622 eV per atom
**DOS(E_F)**: 10.61 states/eV per cell
**Total DFT energy (no corrections)**: -90.0 eV per cell
**Space group**: R-3m, No. 166

Cell lengths 8.524, 8.525, 9.367 Å; angles 117.08, 90.00, 120.00 degrees
Fractional coordinates of all 15 atoms:
Pr1 0.270 0.539 0.309
Pr2 0.730 0.461 0.691
Pr3 0.765 0.529 0.314
Pr4 0.235 0.471 0.686
Pr5 0.764 0.049 0.313
Pr6 0.236 0.951 0.687
Pr7 0.284 0.049 0.313
Pr8 0.716 0.951 0.687
Os1 0.500 0.000 0.500
Os2 0.500 0.500 0.500
Os3 0.000 0.500 0.500
S1 0.000 0.000 0.500
I1 0.000 0.000 0.000
I2 0.000 0.500 0.000
I3 0.500 0.500 0.000

[9]
The following is a DFT calculation (PBE) of an optimized crystal structure of ReAs3H.

Values from the calculation:
**ρ**: 9.585 g/cm3
**DOS(E_F)**: 4.23 states/eV per cell
**Total DFT energy (no corrections)**: -24.9 eV per cell
**Space group**: Pm-3m, No. 221

Cell lengths 4.148, 4.148, 4.148 Å; angles 90.00, 90.00, 90.00 degrees
Fractional coordinates of all 5 atoms:
Re1 0.500 0.500 0.500
As1 0.000 0.500 0.000
As2 0.000 0.000 0.500
As3 0.500 0.000 0.000
H1 0.000 0.000 0.000

[10]
The following is a DFT calculation (PBE) of an optimized crystal structure of CsSc3H.

Values from the calculation:
**ρ**: 3.882 g/cm3
**DOS(E_F)**: 11.41 states/eV per cell
**Total DFT energy (no corrections)**: -20.2 eV per cell
**Space group**: Pm-3m, No. 221

Cell lengths 4.862, 4.862, 4.862 Å; angles 90.00, 90.00, 90.00 degrees
Site moments in Bohr magnetons follow the coordinates.
Fractional coordinates of all 5 atoms:
Cs1 0.500 0.500 0.500  0.02
Sc1 0.000 0.500 0.000  0.16
Sc2 0.000 0.000 0.500  0.14
Sc3 0.500 0.000 0.000  0.15
H1 0.000 0.000 0.000  -0.01

[11]
The following is a DFT calculation (PBE) of an optimized crystal structure of Pm3I2.

Values from the calculation:
**ρ**: 6.574 g/cm3
**ΔE_f (raw)**: -0.445 eV per atom
**DOS(E_F)**: 9.58 states/eV per cell
**Total DFT energy (no corrections)**: -39.2 eV per cell
**Space group**: R-3c, No. 167

Cell lengths 6.878, 6.878, 9.376 Å; angles 68.48, 68.48, 60.00 degrees
Fractional coordinates of all 10 atoms:
I1 0.829 0.829 0.513
I2 0.329 0.329 0.013
I3 0.171 0.171 0.487
I4 0.671 0.671 0.987
Pm1 0.104 0.750 0.750
Pm2 0.750 0.396 0.750
Pm3 0.396 0.104 0.750
Pm4 0.250 0.604 0.250
Pm5 0.604 0.896 0.250
Pm6 0.896 0.250 0.250

[12]
The following is a DFT calculation (PBE) of an optimized crystal structure of NaSiB.

Values from the calculation:
**ρ**: 2.079 g/cm3
**ΔE_f (raw)**: 0.559 eV per atom
**DOS(E_F)**: 1.32 states/eV per cell
**Total DFT energy (no corrections)**: -23.5 eV per cell
**Space group**: Pmma, No. 51

Cell lengths 5.931, 5.003, 3.331 Å; angles 90.00, 90.00, 90.00 degrees
Fractional coordinates of all 6 atoms:
Na1 0.250 0.000 0.373
Na2 0.750 0.000 0.627
Si1 0.250 0.500 0.901
Si2 0.750 0.500 0.099
B1 0.000 0.500 0.500
B2 0.500 0.500 0.500